No. 1
Density functional theory data (PBE) for crystalline Tb3DyNi2 at its relaxed geometry.

The calculation puts the formation enthalpy at 0 K at -0.29 eV/atom. The electronic total energy is -127.1 eV/cell.

The structure belongs to space group C2/m (No. 12); the cell edges are 16.1357, 3.8800 and 11.3945 Å and the angles 90.00°, 123.37° and 90.00°. The inequivalent atoms are Tb at (0.0821, 0.0000, 0.4401), Tb at (0.0818, 0.0000, 0.9410), Tb at (0.1546, 0.5000, 0.7467), Dy at (0.1550, 0.5000, 0.2471), Ni at (0.2315, 0.5000, 0.0503) and Ni at (0.2316, 0.5000, 0.5501).


No. 2
Density functional theory data (PBE) for crystalline TbSm2Zn6 at its relaxed geometry.

The calculation puts the formation enthalpy at 0 K at -0.37 eV/atom. The electronic total energy is -25.0 eV/cell.

The structure belongs to space group P6/mmm (No. 191); the cell edges are 7.8353, 7.8353 and 3.5593 Å and the angles 90.00°, 90.00° and 120.00°. The inequivalent atoms are Tb at (0.0000, 0.0000, 0.0000), Sm at (0.3333, 0.6667, 0.0000) and Zn at (0.0000, 0.3315, 0.5000).


No. 3
Density functional theory data (PBE) for crystalline Cd3Cu5I12 at its relaxed geometry.

The value obtained for the uncorrected formation energy is -163 meV per atom. The electronic total energy is -360.7 eV/cell.

The structure belongs to space group Ia-3d (No. 230); the cell edges are 17.3926, 17.3926 and 17.3926 Å and the angles 90.00°, 90.00° and 90.00°. The inequivalent atoms are Cd at (0.0000, 0.2500, 0.1250), Cu at (0.0000, 0.0000, 0.0000), Cu at (0.0000, 0.2500, 0.3750) and I at (0.0238, 0.0494, 0.6533).


No. 4
Density functional theory data (PBE) for crystalline CaVH2 at its relaxed geometry.

The electronic total energy is -63.2 eV/cell.

The structure belongs to space group Fm-3m (No. 225); the cell edges are 5.9336, 5.9336 and 5.9336 Å and the angles 90.00°, 90.00° and 90.00°. The inequivalent atoms are Ca at (0.0000, 0.0000, 0.0000), V at (0.0000, 0.0000, 0.5000) and H at (0.2500, 0.2500, 0.2500).


No. 5
Density functional theory data (PBE) for crystalline BaYAu10 at its relaxed geometry.

The calculation puts the formation enthalpy at 0 K at -0.39 eV/atom. The electronic total energy is -45.9 eV/cell.

The structure belongs to space group Pmmm (No. 47); the cell edges are 4.7475, 5.6060 and 9.9099 Å and the angles 90.00°, 90.00° and 90.00°. The inequivalent atoms are Ba at (0.0000, 0.0000, 0.0000), Y at (0.0000, 0.5000, 0.5000), Au at (0.0000, 0.0000, 0.3459), Au at (0.0000, 0.5000, 0.1884), Au at (0.5000, 0.0000, 0.5000), Au at (0.5000, 0.2520, 0.2551) and Au at (0.5000, 0.5000, 0.0000).


No. 6
Density functional theory data (PBE) for crystalline TbPuSbPd at its relaxed geometry.

The value obtained for the uncorrected formation energy is -624 meV per atom. The electronic total energy is -123.1 eV/cell.

The structure belongs to space group F-43m (No. 216); the cell edges are 7.3383, 7.3383 and 7.3383 Å and the angles 90.00°, 90.00° and 90.00°. The inequivalent atoms are Tb at (0.0000, 0.0000, 0.0000), Pu at (0.0000, 0.0000, 0.5000), Sb at (0.2500, 0.2500, 0.7500) and Pd at (0.2500, 0.2500, 0.2500).


No. 7
Density functional theory data (PBE) for crystalline NdThAu at its relaxed geometry.

The calculation puts the formation enthalpy at 0 K at -0.40 eV/atom. The electronic total energy is -33.3 eV/cell.

The structure belongs to space group I4mm (No. 107); the cell edges are 3.7432, 3.7432 and 12.3501 Å and the angles 90.00°, 90.00° and 90.00°. The inequivalent atoms are Nd at (0.0000, 0.0000, 0.0000), Th at (0.0000, 0.0000, 0.2992) and Au at (0.0000, 0.0000, 0.6599).


No. 8
Density functional theory data (PBE) for crystalline CaAg2GeCl6 at its relaxed geometry.

The value obtained for the uncorrected formation energy is -1126 meV per atom. The electronic total energy is -138.6 eV/cell.

The structure belongs to space group C2/c (No. 15); the cell edges are 12.6529, 12.3467 and 7.2491 Å and the angles 90.00°, 99.34° and 90.00°. The inequivalent atoms are Ca at (0.0000, 0.0883, 0.2500), Ag at (0.1661, 0.4045, 0.3211), Ge at (0.0000, 0.2678, 0.7500), Cl at (0.1115, 0.2477, 0.1000), Cl at (0.1186, 0.0737, 0.6054) and Cl at (0.1232, 0.4056, 0.6589).


No. 9
Density functional theory data (PBE) for crystalline CaCrTe3 at its relaxed geometry.

The value obtained for the uncorrected formation energy is -325 meV per atom. The electronic total energy is -22.7 eV/cell.

The structure belongs to space group Pm-3m (No. 221); the cell edges are 5.3021, 5.3021 and 5.3021 Å and the angles 90.00°, 90.00° and 90.00°. The inequivalent atoms are Ca at (0.0000, 0.0000, 0.0000), Cr at (0.5000, 0.5000, 0.5000) and Te at (0.0000, 0.5000, 0.5000).


No. 10
Density functional theory data (PBE) for crystalline SmTm3Fe at its relaxed geometry.

The calculation puts the formation enthalpy at 0 K at 0.07 eV/atom. The electronic total energy is -26.2 eV/cell.

The structure belongs to space group Pm-3m (No. 221); the cell edges are 5.2112, 5.2112 and 5.2112 Å and the angles 90.00°, 90.00° and 90.00°. The inequivalent atoms are Sm at (0.0000, 0.0000, 0.0000), Tm at (0.0000, 0.5000, 0.5000) and Fe at (0.5000, 0.5000, 0.5000).


No. 11
Density functional theory data (PBE) for crystalline TlCoCl4 at its relaxed geometry.

The value obtained for the uncorrected formation energy is -711 meV per atom. The electronic total energy is -84.5 eV/cell.

The structure belongs to space group C2/c (No. 15); the cell edges are 7.2203, 15.9301 and 7.4933 Å and the angles 90.00°, 111.27° and 90.00°. The inequivalent atoms are Tl at (0.0000, 0.1347, 0.2500), Co at (0.0000, 0.3868, 0.2500), Cl at (0.0133, 0.3063, 0.4916) and Cl at (0.2306, 0.0380, 0.6583).


No. 12
Density functional theory data (PBE) for crystalline AcZrOs at its relaxed geometry.

The calculation puts the formation enthalpy at 0 K at -0.14 eV/atom. The electronic total energy is -145.8 eV/cell.

The structure belongs to space group P2_1/m (No. 11); the cell edges are 7.3957, 4.5326 and 13.6620 Å and the angles 90.00°, 92.25° and 90.00°. The inequivalent atoms are Ac at (0.0022, 0.2500, 0.3733), Ac at (0.1208, 0.2500, 0.0842), Ac at (0.4840, 0.2500, 0.2910), Zr at (0.1627, 0.2500, 0.7972), Zr at (0.3586, 0.7500, 0.4603), Zr at (0.4648, 0.7500, 0.0821), Os at (0.1985, 0.7500, 0.2398), Os at (0.2889, 0.2500, 0.5664) and Os at (0.3158, 0.7500, 0.8948).